A plane-wave DFT calculation with PBE was carried out for crystalline ZrNbBi3 at its relaxed geometry.

Cell: 5.4746 5.4746 5.4746 Å, 90.00 90.00 90.00°
With the nearest neighbours (Å) after each atom.
Fractional positions:
Zr (0.0000, 0.0000, 0.0000)  12 Bi 3.87
Nb (0.5000, 0.5000, 0.5000)  6 Bi 2.74
Bi (0.0000, 0.5000, 0.5000)  2 Nb 2.74
Bi (0.5000, 0.0000, 0.5000)  2 Nb 2.74
Bi (0.5000, 0.5000, 0.0000)  2 Nb 2.74

For the volume, the calculation gives 32.82 Å³ per atom. The uncorrected energy comes out at -26.2 eV per cell.

***

A plane-wave DFT calculation with PBE was carried out for crystalline La10PmNd4 at its relaxed geometry.

Cell: 9.1894 9.1894 9.1894 Å, 101.12 101.12 127.91°
With the nearest neighbours (Å) after each atom.
Fractional positions:
La (0.0082, 0.7928, 0.2154)  4 La 3.34-3.56, 1 Pm 3.45, 4 Nd 3.54-3.69
La (0.2072, 0.4226, 0.2154)  4 La 3.34-3.56, 1 Pm 3.45, 4 Nd 3.54-3.69
La (0.2072, 0.9918, 0.7846)  4 La 3.34-3.56, 1 Pm 3.45, 4 Nd 3.54-3.69
La (0.2500, 0.7500, 0.5000)  4 La 3.34
La (0.4226, 0.2072, 0.2154)  4 La 3.34-3.56, 1 Pm 3.45, 4 Nd 3.54-3.69
La (0.5774, 0.7928, 0.7846)  4 La 3.34-3.56, 1 Pm 3.45, 4 Nd 3.54-3.69
La (0.7500, 0.2500, 0.5000)  4 La 3.34
La (0.7928, 0.0082, 0.2154)  4 La 3.34-3.56, 1 Pm 3.45, 4 Nd 3.54-3.69
La (0.7928, 0.5774, 0.7846)  4 La 3.34-3.56, 1 Pm 3.45, 4 Nd 3.54-3.69
La (0.9918, 0.2072, 0.7846)  4 La 3.34-3.56, 1 Pm 3.45, 4 Nd 3.54-3.69
Pm (0.5000, 0.5000, 0.0000)  8 La 3.45, 4 Nd 3.72
Nd (0.2749, 0.2749, 0.5498)  8 La 3.54-3.69, 1 Pm 3.72
Nd (0.2749, 0.7251, 0.0000)  8 La 3.54-3.69, 1 Pm 3.72
Nd (0.7251, 0.2749, 0.0000)  8 La 3.54-3.69, 1 Pm 3.72
Nd (0.7251, 0.7251, 0.4502)  8 La 3.54-3.69, 1 Pm 3.72

For the volume, the calculation gives 36.67 Å³ per atom. The uncorrected energy comes out at -70.3 eV per cell.